VASP calculation (PBE) on Pm5PbC after structural relaxation.

Summary:
E = -5.37 eV/atom
Calculated density = 7.584 g cm⁻³
Space-group type = No. 15
Volume = 29.53 Å³/atom

Cell lengths 6.8629, 6.8629, 10.9580 Å; angles 71.44, 71.44, 59.44 degrees
With the nearest neighbours (Å) after each atom.
Element x y z (fractional)
1 Pm 0.9761 0.6341 0.1222  1 C 2.50
2 Pm 0.1894 0.5757 0.5417  1 C 2.46
3 Pm 0.6341 0.9761 0.6222  1 C 2.50
4 Pm 0.9755 0.0245 0.2500  2 C 2.74
5 Pm 0.4243 0.8106 0.9583  1 C 2.46
6 Pm 0.5757 0.1894 0.0417  1 C 2.46
7 Pm 0.0245 0.9755 0.7500  2 C 2.74
8 Pm 0.3659 0.0239 0.3778  1 C 2.50
9 Pm 0.8106 0.4243 0.4583  1 C 2.46
10 Pm 0.0239 0.3659 0.8778  1 C 2.50
11 Pb 0.4884 0.5116 0.2500  8 Pm 3.23-3.61
12 Pb 0.5116 0.4884 0.7500  8 Pm 3.23-3.61
13 C 0.0000 0.0000 0.0000  6 Pm 2.46-2.74
14 C 0.0000 0.0000 0.5000  6 Pm 2.46-2.74